[1]
! KCa2Y PBE-GGA relaxed; values from VASP
&SYSTEM
  ibrav = 0, nat = 4, ntyp = 3
/
ATOMIC_SPECIES
K 39.10 K.upf
Ca 40.08 Ca.upf
Y 88.91 Y.upf
CELL_PARAMETERS angstrom
3.746 0.000 0.000
0.000 6.520 0.000
-0.032 0.000 6.946
ATOMIC_POSITIONS crystal
K 0.000 0.000 0.000
Ca 0.494 0.500 0.812
Ca 0.497 0.000 0.492
Y 0.994 0.500 0.342
! Polymorph energy (0 for the lowest one) = 122 meV/atom


[2]
! NaLi2Si PBE-GGA relaxed; values from VASP
&SYSTEM
  ibrav = 0, nat = 4, ntyp = 3
/
ATOMIC_SPECIES
Na 22.99 Na.upf
Li 6.94 Li.upf
Si 28.09 Si.upf
CELL_PARAMETERS angstrom
3.077 0.000 0.000
0.000 3.077 0.000
0.000 0.000 8.250
ATOMIC_POSITIONS crystal
Na 0.000 0.000 0.000
Li 0.500 0.500 0.317
Li 0.500 0.500 0.683
Si 0.000 0.000 0.500
! E_form (uncorrected) = 0.00 eV per atom


[3]
! Li4ZnRh2 PBE-GGA relaxed; values from VASP
&SYSTEM
  ibrav = 0, nat = 7, ntyp = 3
/
ATOMIC_SPECIES
Li 6.94 Li.upf
Zn 65.41 Zn.upf
Rh 102.91 Rh.upf
CELL_PARAMETERS angstrom
4.658 0.000 0.000
2.322 4.341 0.000
0.037 -0.012 5.030
ATOMIC_POSITIONS crystal
Li 0.000 0.000 0.000
Li 0.147 0.206 0.475
Li 0.500 0.000 0.001
Li 0.852 0.797 0.476
Zn 0.501 0.500 0.708
Rh 0.499 0.501 0.216
Rh 0.999 0.500 0.976
! Polymorph energy (0 for the lowest one) = 0 meV/atom


[4]
! MgTlTe2W PBE-GGA relaxed; values from VASP
&SYSTEM
  ibrav = 0, nat = 5, ntyp = 4
/
ATOMIC_SPECIES
Mg 24.30 Mg.upf
Tl 204.38 Tl.upf
Te 127.60 Te.upf
W 183.84 W.upf
CELL_PARAMETERS angstrom
5.469 0.000 0.000
0.000 5.469 0.000
0.000 0.000 5.224
ATOMIC_POSITIONS crystal
Mg 0.000 0.000 0.000
Tl 0.000 0.000 0.500
Te 0.000 0.500 0.000
Te 0.500 0.000 0.000
W 0.500 0.500 0.500
! E_form (uncorrected) = 1.23 eV per atom


[5]
! GdTcSn2 PBE-GGA relaxed; values from VASP
&SYSTEM
  ibrav = 0, nat = 4, ntyp = 3
/
ATOMIC_SPECIES
Gd 157.25 Gd.upf
Tc 98.00 Tc.upf
Sn 118.71 Sn.upf
CELL_PARAMETERS angstrom
3.387 0.000 0.000
0.000 3.387 0.000
0.000 0.000 7.560
ATOMIC_POSITIONS crystal
Gd 0.000 0.000 0.000
Tc 0.000 0.000 0.500
Sn 0.500 0.500 0.297
Sn 0.500 0.500 0.703
! Polymorph energy (0 for the lowest one) = 0 meV/atom


[6]
! ZnHgOs2 PBE-GGA relaxed; values from VASP
&SYSTEM
  ibrav = 0, nat = 4, ntyp = 3
/
ATOMIC_SPECIES
Zn 65.41 Zn.upf
Hg 200.59 Hg.upf
Os 190.23 Os.upf
CELL_PARAMETERS angstrom
4.346 0.000 0.000
0.000 4.346 0.000
0.000 0.000 3.323
ATOMIC_POSITIONS crystal
Zn 0.000 0.000 0.000
Hg 0.500 0.500 0.000
Os 0.000 0.500 0.500
Os 0.500 0.000 0.500
! Polymorph energy (0 for the lowest one) = 681 meV/atom


[7]
! KEuO PBE-GGA relaxed; values from VASP
&SYSTEM
  ibrav = 0, nat = 3, ntyp = 3
/
ATOMIC_SPECIES
K 39.10 K.upf
Eu 151.96 Eu.upf
O 16.00 O.upf
CELL_PARAMETERS angstrom
3.783 0.000 0.000
-1.891 3.276 0.000
0.000 0.000 7.015
ATOMIC_POSITIONS crystal
K 0.000 0.000 0.000
Eu 0.667 0.333 0.573
O 0.333 0.667 0.707
! E_form (uncorrected) = -1.62 eV per atom


[8]
! NaMg4H8 PBE-GGA relaxed; values from VASP
&SYSTEM
  ibrav = 0, nat = 13, ntyp = 3
/
ATOMIC_SPECIES
Na 22.99 Na.upf
Mg 24.30 Mg.upf
H 1.01 H.upf
CELL_PARAMETERS angstrom
0.000 4.325 4.325
4.325 0.000 4.325
4.325 4.325 0.000
ATOMIC_POSITIONS crystal
Na 0.000 0.000 0.000
Mg 0.130 0.623 0.623
Mg 0.623 0.130 0.623
Mg 0.623 0.623 0.130
Mg 0.623 0.623 0.623
H 0.393 0.393 0.393
H 0.393 0.393 0.820
H 0.393 0.820 0.393
H 0.438 0.854 0.854
H 0.820 0.393 0.393
H 0.854 0.438 0.854
H 0.854 0.854 0.438
H 0.854 0.854 0.854
! Calculated total energy = -2.7318 eV/atom


[9]
! TcPtBr PBE-GGA relaxed; values from VASP
&SYSTEM
  ibrav = 0, nat = 3, ntyp = 3
/
ATOMIC_SPECIES
Tc 98.00 Tc.upf
Pt 195.08 Pt.upf
Br 79.90 Br.upf
CELL_PARAMETERS angstrom
0.000 2.581 7.186
1.464 0.000 7.186
1.464 2.581 0.000
ATOMIC_POSITIONS crystal
Tc 0.000 0.000 0.000
Pt 0.347 0.347 0.653
Br 0.648 0.648 0.352
! Polymorph energy (0 for the lowest one) = 214 meV/atom
! E_form (uncorrected) = 0.65 eV per atom


[10]
! Tb6PdPt5 PBE-GGA relaxed; values from VASP
&SYSTEM
  ibrav = 0, nat = 12, ntyp = 3
/
ATOMIC_SPECIES
Tb 158.93 Tb.upf
Pd 106.42 Pd.upf
Pt 195.08 Pt.upf
CELL_PARAMETERS angstrom
3.543 -6.127 0.000
3.543 6.127 0.000
-2.356 0.000 6.662
ATOMIC_POSITIONS crystal
Tb 0.076 0.415 0.745
Tb 0.244 0.244 0.249
Tb 0.415 0.076 0.745
Tb 0.585 0.924 0.255
Tb 0.756 0.756 0.751
Tb 0.924 0.585 0.255
Pd 0.500 0.500 0.000
Pt 0.000 0.000 0.500
Pt 0.168 0.832 0.000
Pt 0.336 0.664 0.500
Pt 0.664 0.336 0.500
Pt 0.832 0.168 0.000
! Polymorph energy (0 for the lowest one) = 89 meV/atom


[11]
! LaCd2Pb PBE-GGA relaxed; values from VASP
&SYSTEM
  ibrav = 0, nat = 4, ntyp = 3
/
ATOMIC_SPECIES
La 138.91 La.upf
Cd 112.41 Cd.upf
Pb 207.20 Pb.upf
CELL_PARAMETERS angstrom
3.354 0.000 0.000
0.000 5.398 0.000
-0.005 0.000 6.249
ATOMIC_POSITIONS crystal
La 0.000 0.000 0.000
Cd 0.498 0.500 0.760
Cd 0.502 0.500 0.240
Pb 0.500 0.000 0.500
! Calculated total energy = -2.8767 eV/atom


[12]
! MgCdAg2 PBE-GGA relaxed; values from VASP
&SYSTEM
  ibrav = 0, nat = 4, ntyp = 3
/
ATOMIC_SPECIES
Mg 24.30 Mg.upf
Cd 112.41 Cd.upf
Ag 107.87 Ag.upf
CELL_PARAMETERS angstrom
5.140 -1.632 0.000
5.140 1.632 0.000
-1.659 0.000 4.535
ATOMIC_POSITIONS crystal
Mg 0.000 0.000 0.000
Cd 0.237 0.237 0.678
Ag 0.488 0.488 0.492
Ag 0.747 0.747 0.184
! Calculated total energy = -2.1920 eV/atom